## A
Below is a geometry-optimized BeRu2Se structure, with properties calculated at the PBEsol level.

The structure in POSCAR format:
```
BeRu2Se
1.0
4.2172 0.0000 0.0000
2.1086 3.6522 0.0000
2.1086 1.2174 3.4433
Ru Se Be
2 1 1
Cartesian
0.0000 0.0000 0.0000 Ru
6.3258 3.6522 2.5825 Ru
2.1086 1.2174 0.8608 Se
4.2172 2.4348 1.7217 Be
```

Output
magnetization = 0.00 μB/f.u.

---

## B
Below is a geometry-optimized BeRu2Se structure, with properties calculated at the PBEsol level.

The structure in POSCAR format:
```
BeRu2Se
1.0
-0.0364 -0.7392 -2.7410
-0.8322 -3.6469 0.9945
-4.9176 1.4451 1.1844
Ru Se Be
2 1 1
Cartesian
-1.0582 0.0274 -0.7851 Ru
-3.8958 0.6786 -0.7715 Ru
-2.8931 -1.4705 -0.2810 Se
-0.4161 -1.8235 0.4973 Be
```

Output
magnetization = 0.00 μB/f.u.

---

## C
Below is a geometry-optimized BeRu2Se structure, with properties calculated at the PBEsol level.

The structure in POSCAR format:
```
BeRu2Se
1.0
-0.0359 -2.4650 -1.4565
1.5341 -0.5918 3.7782
-4.6639 -0.4110 0.8106
Ru Se Be
2 1 1
Cartesian
-2.7994 -2.4845 1.4592 Ru
-0.3664 -0.9832 1.6730 Ru
-2.3320 -0.2055 0.4053 Se
-0.0180 -1.2325 -0.7283 Be
```

Output
magnetization = 0.00 μB/f.u.

---

## D
Below is a geometry-optimized BeRu2Se structure, with properties calculated at the PBEsol level.

The structure in POSCAR format:
```
BeRu2Se
1.0
2.7327 -0.0049 0.0000
-1.2439 2.4332 0.0000
0.0000 0.0000 8.2325
Ru Se Be
2 1 1
Cartesian
0.0000 0.0000 0.1559 Ru
0.7444 1.2142 6.2185 Ru
0.0000 0.0000 4.0842 Se
0.7444 1.2142 1.8902 Be
```

Output
magnetization = 0.00 μB/f.u.

---

C is preferred energetically. Next in line: 146 meV/atom higher.

---

## A
Below is a geometry-optimized BeTcRu structure, with properties calculated at the PBEsol level.

The structure in POSCAR format:
```
BeTcRu
1.0
2.6024 -0.0003 0.0000
-1.0300 2.3900 0.0000
-0.7862 -1.1948 5.9184
Ru Tc Be
1 1 1
Cartesian
0.7862 1.1948 1.8577 Ru
0.0000 0.0000 4.0311 Tc
0.0000 0.0000 0.0296 Be
```

Output
magnetization = 0.00 μB/f.u.

---

## B
Below is a geometry-optimized BeTcRu structure, with properties calculated at the PBEsol level.

The structure in POSCAR format:
```
BeTcRu
1.0
3.9359 0.0000 0.0000
1.9679 3.4086 0.0000
1.9679 1.1362 3.2136
Ru Tc Be
1 1 1
Cartesian
3.9359 2.2724 1.6068 Ru
1.9679 1.1362 0.8034 Tc
0.0000 0.0000 0.0000 Be
```

Output
magnetization = 0.00 μB/f.u.

---

## C
Below is a geometry-optimized BeTcRu structure, with properties calculated at the PBEsol level.

The structure in POSCAR format:
```
BeTcRu
1.0
-2.4791 -0.6678 -1.1137
0.6734 -2.7133 0.1279
-0.8686 1.4438 4.5840
Ru Tc Be
1 1 1
Cartesian
-1.4542 -1.7674 0.7807 Ru
-1.2020 -0.1674 2.7762 Tc
-0.0179 -0.0025 0.0414 Be
```

Output
magnetization = 0.00 μB/f.u.

---

C is preferred energetically. Next in line: 452 meV/atom higher.